# 1
A geometry-optimized Ni2RuCl structure, computed with PBE. Values from VASP.

N(E_F), states/eV/f.u.: 6.28

Quantum ESPRESSO input file:
```
&SYSTEM
  ibrav = 0, nat = 4, ntyp = 3
/
ATOMIC_SPECIES
Ru 101.07 Ru.upf
Ni 58.69 Ni.upf
Cl 35.45 Cl.upf
CELL_PARAMETERS angstrom
7.7994 -0.0055 -0.0032
7.2853 2.7849 -0.0032
7.2853 1.3424 2.4401
ATOMIC_POSITIONS crystal
Ru 0.2500 0.2500 0.2500
Ni 0.0020 0.0020 0.0020
Ni 0.4980 0.4980 0.4980
Cl 0.7500 0.7500 0.7500
```

---

# 2
A geometry-optimized CdSb2Ir structure, computed with PBE. Values from VASP.

N(E_F), states/eV/f.u.: 1.94

Quantum ESPRESSO input file:
```
&SYSTEM
  ibrav = 0, nat = 4, ntyp = 3
/
ATOMIC_SPECIES
Sb 121.76 Sb.upf
Cd 112.41 Cd.upf
Ir 192.22 Ir.upf
CELL_PARAMETERS angstrom
4.3125 0.0000 0.0000
0.0000 4.5531 -0.7326
0.0000 -1.3709 5.6167
ATOMIC_POSITIONS crystal
Sb 0.0000 0.9244 0.9786
Sb 0.5000 0.1878 0.4923
Cd 0.0000 0.5979 0.3279
Ir 0.5000 0.7898 0.7012
```

---

| no. | ρ (Mg/m³) | magnetization (μB per cell) | distance to the lowest polymorph of the same formula (eV per atom) |
| --- | --- | --- | --- |
| 1 | 7.9 | 0.0 | 0.057 |
| 2 | 8.6 | 0.0 | 0.129 |